# Ho8CuPt2

Crystalline Ho8CuPt2 at its relaxed geometry (PBE-GGA, the Alexandria database).

abc: 7.610 7.610 5.887
angles: 99.75 99.75 112.83
Sites, in units of the cell vectors:
Ho (0.000, 0.000, 0.000)
Ho (0.027, 0.285, 0.588)
Ho (0.146, 0.588, 0.184)
Ho (0.285, 0.027, 0.588)
Ho (0.442, 0.701, 0.798)
Ho (0.588, 0.146, 0.184)
Ho (0.701, 0.442, 0.798)
Ho (0.726, 0.726, 0.368)
Cu (0.362, 0.362, 0.018)
Pt (0.051, 0.675, 0.686)
Pt (0.675, 0.051, 0.686)

Properties
The formation energy is -0.42 eV/atom. The space group is Cm (8). The calculation puts the density of states at the Fermi level at 13.28 states/eV/f.u. For the uncorrected energy, the calculation gives -5.2164 eV per atom.

# Cs2VGeS4

Crystalline Cs2VGeS4 at its relaxed geometry (PBE-GGA, the Alexandria database).

abc: 14.065 12.643 7.717
angles: 83.65 63.30 33.04
Sites, in units of the cell vectors:
Cs (0.053, 0.053, 0.697)
Cs (0.303, 0.303, 0.947)
Cs (0.697, 0.697, 0.053)
Cs (0.947, 0.947, 0.303)
V (0.125, 0.125, 0.125)
V (0.875, 0.875, 0.875)
Ge (0.375, 0.375, 0.375)
Ge (0.625, 0.625, 0.625)
S (0.038, 0.309, 0.385)
S (0.232, 0.615, 0.691)
S (0.309, 0.038, 0.768)
S (0.385, 0.768, 0.038)
S (0.615, 0.232, 0.962)
S (0.691, 0.962, 0.232)
S (0.768, 0.385, 0.309)
S (0.962, 0.691, 0.615)

Properties
The space group is Fddd (70). The calculation puts the density of states at the Fermi level at 4.46 states/eV/f.u. For the uncorrected energy, the calculation gives -4.9041 eV per atom. As for the uncorrected formation energy: -910 meV/atom.

# RbAsIrPd

Crystalline RbAsIrPd at its relaxed geometry (PBE-GGA, the Alexandria database).

abc: 3.972 3.972 12.914
angles: 90.00 90.00 90.00
Sites, in units of the cell vectors:
Rb (0.250, 0.250, 0.215)
Rb (0.750, 0.750, 0.785)
As (0.250, 0.250, 0.612)
As (0.750, 0.750, 0.388)
Ir (0.250, 0.750, 0.500)
Ir (0.750, 0.250, 0.500)
Pd (0.250, 0.750, 0.000)
Pd (0.750, 0.250, 0.000)

Properties
The formation energy is -0.18 eV/atom. The space group is P4/nmm (129). The calculation puts the density of states at the Fermi level at 1.99 states/eV/f.u. For the uncorrected energy, the calculation gives -5.0985 eV per atom.

# TaHg3I6

Crystalline TaHg3I6 at its relaxed geometry (PBE-GGA, the Alexandria database).

abc: 13.169 13.169 6.369
angles: 90.00 90.00 122.12
Sites, in units of the cell vectors:
Ta (0.178, 0.822, 0.500)
Ta (0.822, 0.178, 0.000)
Hg (0.013, 0.258, 0.709)
Hg (0.258, 0.013, 0.209)
Hg (0.500, 0.500, 0.265)
Hg (0.500, 0.500, 0.765)
Hg (0.742, 0.987, 0.709)
Hg (0.987, 0.742, 0.209)
I (0.039, 0.615, 0.699)
I (0.070, 0.930, 0.682)
I (0.246, 0.394, 0.523)
I (0.267, 0.733, 0.227)
I (0.385, 0.961, 0.699)
I (0.394, 0.246, 0.023)
I (0.606, 0.754, 0.523)
I (0.615, 0.039, 0.199)
I (0.733, 0.267, 0.727)
I (0.754, 0.606, 0.023)
I (0.930, 0.070, 0.182)
I (0.961, 0.385, 0.199)

Properties
The space group is Cmc2_1 (36). The calculation puts the density of states at the Fermi level at 3.71 states/eV/f.u. For the uncorrected energy, the calculation gives -2.4355 eV per atom. As for the uncorrected formation energy: -230 meV/atom.

# Cd2Ag5Hg2

Crystalline Cd2Ag5Hg2 at its relaxed geometry (PBE-GGA, the Alexandria database).

abc: 8.589 8.589 5.161
angles: 101.46 101.46 81.32
Sites, in units of the cell vectors:
Cd (0.194, 0.806, 0.500)
Cd (0.595, 0.994, 0.523)
Cd (0.806, 0.194, 0.000)
Cd (0.994, 0.595, 0.023)
Ag (0.065, 0.930, 0.999)
Ag (0.130, 0.255, 0.947)
Ag (0.255, 0.130, 0.447)
Ag (0.319, 0.454, 0.379)
Ag (0.454, 0.319, 0.879)
Ag (0.545, 0.680, 0.606)
Ag (0.680, 0.545, 0.106)
Ag (0.743, 0.866, 0.043)
Ag (0.866, 0.743, 0.543)
Ag (0.930, 0.065, 0.499)
Hg (0.006, 0.408, 0.476)
Hg (0.338, 0.660, 0.996)
Hg (0.408, 0.006, 0.976)
Hg (0.660, 0.338, 0.496)

Properties
The formation energy is 0.03 eV/atom. The space group is Cc (9). The offset from the most stable computed form is 0.0 meV per atom. The calculation puts the density of states at the Fermi level at 2.36 states/eV/f.u. For the uncorrected energy, the calculation gives -1.8262 eV per atom.

# DyHfSc2As4

Crystalline DyHfSc2As4 at its relaxed geometry (PBE-GGA, the Alexandria database).

abc: 6.769 3.924 6.800
angles: 90.00 109.34 90.00
Sites, in units of the cell vectors:
Dy (0.000, 0.000, 0.000)
Hf (0.000, 0.500, 0.500)
Sc (0.500, 0.000, 0.500)
Sc (0.500, 0.500, 0.000)
As (0.253, 0.000, 0.742)
As (0.259, 0.500, 0.262)
As (0.741, 0.500, 0.738)
As (0.747, 0.000, 0.258)

Properties
The formation energy is -1.32 eV/atom. The space group is P2/m (10). The calculation puts the density of states at the Fermi level at 1.26 states/eV/f.u. For the uncorrected energy, the calculation gives -7.0498 eV per atom.

# Zr2ScOs

Crystalline Zr2ScOs at its relaxed geometry (PBE-GGA, the Alexandria database).

abc: 3.168 4.502 5.836
angles: 90.00 104.72 90.00
Sites, in units of the cell vectors:
Zr (0.198, 0.000, 0.275)
Zr (0.802, 0.000, 0.725)
Sc (0.500, 0.500, 0.000)
Os (0.000, 0.500, 0.500)

Properties
The formation energy is -0.12 eV/atom. The space group is P2/m (10). The calculation puts the density of states at the Fermi level at 5.38 states/eV/f.u. For the uncorrected energy, the calculation gives -8.7872 eV per atom.

# LaGaI2O

Crystalline LaGaI2O at its relaxed geometry (PBE-GGA, the Alexandria database).

abc: 6.580 6.580 4.342
angles: 90.00 90.00 90.00
Sites, in units of the cell vectors:
La (0.000, 0.000, 0.000)
Ga (0.500, 0.500, 0.500)
I (0.000, 0.500, 0.000)
I (0.500, 0.000, 0.000)
O (0.000, 0.000, 0.500)

Properties
The space group is P4/mmm (123). The offset from the most stable computed form is 0.0 meV per atom. The calculation puts the density of states at the Fermi level at 0.49 states/eV/f.u. For the uncorrected energy, the calculation gives -4.6300 eV per atom. As for the uncorrected formation energy: -1427 meV/atom.

For the records above, the corresponding total magnetization values read 0.0 1.0 0.0 0.0 0.0 0.0 0.0 0.0 μB/f.u..